No. 1
A crystal of MgZnHg2 relaxed with PBEsol. Source: Alexandria via LeMat-Bulk, functional SCAN.

Structure (POSCAR):
```
MgZnHg2
1.0
4.140 0.000 0.000
0.000 4.270 0.000
0.000 0.000 8.842
Mg Zn Hg
2 2 4
Cartesian
0.000 0.000 0.000
2.070 2.135 4.421
0.000 2.135 6.633
2.070 0.000 2.212
0.000 0.000 4.382
0.000 2.135 2.190
2.070 0.000 6.611
2.070 2.135 8.803
```

Computed properties:
Energy of formation: -0.060 eV/atom

No. 2
A crystal of Mg2ZnHg relaxed with PBEsol. Source: Alexandria via LeMat-Bulk, functional SCAN.

Structure (POSCAR):
```
Mg2ZnHg
1.0
3.350 0.000 0.000
0.000 3.350 0.000
0.000 0.000 6.695
Mg Zn Hg
2 1 1
Cartesian
0.000 0.000 1.595
0.000 0.000 5.101
1.675 1.675 0.000
1.675 1.675 3.348
```

Computed properties:
Energy of formation: -0.241 eV/atom
Polymorph energy (0 for the lowest one): 8 meV/atom

No. 3
A crystal of Mg2ZnHg relaxed with PBEsol. Source: Alexandria via LeMat-Bulk, functional SCAN.

Structure (POSCAR):
```
Mg2ZnHg
1.0
6.704 0.000 0.000
0.000 6.704 0.000
0.000 0.000 6.704
Mg Zn Hg
8 4 4
Cartesian
1.676 1.676 1.676
1.676 1.676 5.028
1.676 5.028 1.676
1.676 5.028 5.028
5.028 1.676 1.676
5.028 1.676 5.028
5.028 5.028 1.676
5.028 5.028 5.028
0.000 0.000 0.000
0.000 3.352 3.352
3.352 0.000 3.352
3.352 3.352 0.000
0.000 0.000 3.352
0.000 3.352 0.000
3.352 0.000 0.000
3.352 3.352 3.352
```

Computed properties:
Energy of formation: -0.248 eV/atom
Polymorph energy (0 for the lowest one): 0 meV/atom

No. 4
A crystal of MgZnHg2 relaxed with PBEsol. Source: Alexandria via LeMat-Bulk, functional SCAN.

Structure (POSCAR):
```
MgZnHg2
1.0
3.321 0.000 0.000
0.000 3.589 0.000
0.000 0.000 6.536
Mg Zn Hg
1 1 2
Cartesian
0.000 0.000 0.000
0.000 0.000 3.268
1.661 1.794 1.700
1.661 1.794 4.836
```

Computed properties:
Energy of formation: -0.097 eV/atom

No. 5
A crystal of MgZr2Hg relaxed with PBEsol. Source: Alexandria via LeMat-Bulk, functional SCAN.

Structure (POSCAR):
```
MgZr2Hg
1.0
4.256 0.000 0.000
0.000 4.256 0.000
0.000 0.000 9.053
Mg Zr Hg
2 4 2
Cartesian
0.000 0.000 0.000
2.128 2.128 4.527
0.000 2.128 2.263
0.000 2.128 6.790
2.128 0.000 2.263
2.128 0.000 6.790
0.000 0.000 4.527
2.128 2.128 0.000
```

Computed properties:
Energy of formation: -0.230 eV/atom
Polymorph energy (0 for the lowest one): 23 meV/atom

No. 6
A crystal of Mg2ZrHg2 relaxed with PBEsol. Source: Alexandria via LeMat-Bulk, functional SCAN.

Structure (POSCAR):
```
Mg2ZrHg2
1.0
4.087 0.000 0.000
0.000 4.087 0.000
0.000 0.000 12.701
Mg Zr Hg
4 2 4
Cartesian
0.000 2.044 3.175
0.000 2.044 9.526
2.044 0.000 3.175
2.044 0.000 9.526
0.000 0.000 0.000
2.044 2.044 6.351
0.000 0.000 5.010
0.000 0.000 7.691
2.044 2.044 1.341
2.044 2.044 11.361
```

Computed properties:
Energy of formation: -0.181 eV/atom

No. 7
A crystal of MgZrHg relaxed with PBEsol. Source: Alexandria via LeMat-Bulk, functional SCAN.

Structure (POSCAR):
```
MgZrHg
1.0
3.142 0.000 0.000
0.000 3.142 0.000
0.000 0.000 12.595
Mg Zr Hg
2 2 2
Cartesian
0.000 0.000 0.000
1.571 1.571 6.297
0.000 0.000 4.029
1.571 1.571 10.326
0.000 0.000 8.256
1.571 1.571 1.959
```

Computed properties:
Energy of formation: -0.236 eV/atom

No. 8
A crystal of MgZr2Hg relaxed with PBEsol. Source: Alexandria via LeMat-Bulk, functional SCAN.

Structure (POSCAR):
```
MgZr2Hg
1.0
5.875 0.000 0.000
0.000 8.675 0.000
0.000 0.000 3.267
Mg Zr Hg
2 4 2
Cartesian
0.000 0.000 0.000
2.938 4.338 0.000
1.469 2.169 1.633
1.469 6.506 1.633
4.406 2.169 1.633
4.406 6.506 1.633
0.000 4.338 0.000
2.938 0.000 0.000
```

Computed properties:
Energy of formation: -0.195 eV/atom
Polymorph energy (0 for the lowest one): 58 meV/atom

No. 9
A crystal of MgZr2Hg relaxed with PBEsol. Source: Alexandria via LeMat-Bulk, functional SCAN.

Structure (POSCAR):
```
MgZr2Hg
1.0
3.135 0.000 0.000
0.000 3.135 0.000
0.000 0.000 8.668
Mg Zr Hg
1 2 1
Cartesian
0.000 0.000 0.000
0.000 0.000 4.586
1.568 1.568 2.357
1.568 1.568 6.737
```

Computed properties:
Energy of formation: -0.213 eV/atom
Polymorph energy (0 for the lowest one): 41 meV/atom

No. 10
A crystal of MgZr2Hg relaxed with PBEsol. Source: Alexandria via LeMat-Bulk, functional SCAN.

Structure (POSCAR):
```
MgZr2Hg
1.0
10.576 0.000 0.000
0.000 3.231 0.000
-1.951 0.000 4.909
Mg Zr Hg
2 4 2
Cartesian
0.000 0.000 0.000
5.288 1.616 0.000
-0.785 1.616 2.509
2.097 1.616 1.801
4.503 0.000 2.509
7.385 0.000 1.801
1.075 0.000 4.313
6.363 1.616 4.313
```

Computed properties:
Energy of formation: -0.196 eV/atom
Polymorph energy (0 for the lowest one): 58 meV/atom

No. 11
A crystal of MgZr2Hg relaxed with PBEsol. Source: Alexandria via LeMat-Bulk, functional SCAN.

Structure (POSCAR):
```
MgZr2Hg
1.0
3.191 0.000 0.000
0.000 4.166 0.000
0.000 0.000 6.350
Mg Zr Hg
1 2 1
Cartesian
0.000 0.000 0.000
0.000 0.000 3.218
1.596 2.083 1.660
1.596 2.083 4.859
```

Computed properties:
Energy of formation: -0.165 eV/atom
Polymorph energy (0 for the lowest one): 88 meV/atom

No. 12
A crystal of MgZr2Hg relaxed with PBEsol. Source: Alexandria via LeMat-Bulk, functional SCAN.

Structure (POSCAR):
```
MgZr2Hg
1.0
4.312 0.000 0.000
0.000 4.312 0.000
0.000 0.000 4.418
Mg Zr Hg
1 2 1
Cartesian
0.000 0.000 0.000
0.000 2.156 2.209
2.156 0.000 2.209
2.156 2.156 0.000
```

Computed properties:
Energy of formation: -0.253 eV/atom
Polymorph energy (0 for the lowest one): 0 meV/atom